Entry from Alexandria: crystalline NpCrCu2O6 at its relaxed geometry (PBE+U).

It has space group R-3 (No. 148, hexagonal axes), with a = 5.2539 Å, b = 5.2539 Å, c = 14.5025 Å, α = 90.00°, β = 90.00° and γ = 120.00°. The asymmetric unit holds Np at (0.0000, 0.0000, 0.0000), Cr at (0.0000, 0.0000, 0.5000), Cu at (0.0000, 0.0000, 0.2495) and O at (0.0046, 0.3712, 0.2477).

The calculation puts the density of states at the Fermi level at 17.8 states/eV/cell. Its total DFT energy (no corrections) is -226.29 eV for the cell shown. For the calculated volume, the calculation gives 11.6 A^3/atom. As for the crystal system: trigonal.